Record 1
The following is a DFT calculation (PBE) of a geometry-optimized YCoTcB structure.

symmetry	F-43m
energy relative to the lowest polymorph listed for this composition	0.000	eV/atom
total magnetization	0.01	μB per atom

Lattice parameters (Å, degrees): 4.268 4.268 4.268 60.00 60.00 60.00
Atoms (fractional coordinates):
B 0.000 0.000 0.000
Co 0.750 0.750 0.750
Tc 0.250 0.250 0.250
Y 0.500 0.500 0.500

***

Record 2
The following is a DFT calculation (PBE) of a geometry-optimized CsHoInTe3 structure.

E	-3.857	eV/atom
symmetry	Cmcm
total magnetization	0.00	μB per atom

Lattice parameters (Å, degrees): 8.865 8.865 12.306 90.00 90.00 150.25
Atoms (fractional coordinates):
Cs 0.246 0.754 0.250
Cs 0.754 0.246 0.750
Ho 0.500 0.500 0.000
Ho 0.500 0.500 0.500
In 0.940 0.060 0.250
In 0.060 0.940 0.750
Te 0.878 0.122 0.024
Te 0.549 0.451 0.250
Te 0.878 0.122 0.476
Te 0.122 0.878 0.524
Te 0.451 0.549 0.750
Te 0.122 0.878 0.976

***

Record 3
The following is a DFT calculation (PBE) of a geometry-optimized YIn2Cu structure.

E	-4.083	eV/atom
symmetry	F-43m
total magnetization	0.00	μB per atom

Lattice parameters (Å, degrees): 4.999 4.999 4.999 60.00 60.00 60.00
Atoms (fractional coordinates):
Cu 0.750 0.750 0.750
In 0.000 0.000 0.000
In 0.250 0.250 0.250
Y 0.500 0.500 0.500

***

Record 4
The following is a DFT calculation (PBE) of a geometry-optimized LaAlAgAu structure.

symmetry	F-43m
energy relative to the lowest polymorph listed for this composition	0.099	eV/atom
total magnetization	0.00	μB per atom

Lattice parameters (Å, degrees): 5.002 5.002 5.002 60.00 60.00 60.00
Atoms (fractional coordinates):
Ag 0.000 0.000 0.000
Al 0.250 0.250 0.250
Au 0.750 0.750 0.750
La 0.500 0.500 0.500

***

Record 5
The following is a DFT calculation (PBE) of a geometry-optimized Cs2AgBr2Cl2 structure.

E	-2.890	eV/atom
symmetry	Pmm2

Lattice parameters (Å, degrees): 4.733 7.828 7.872 90.00 90.00 90.00
Atoms (fractional coordinates):
Ag 0.000 0.000 0.001
Br 0.000 0.235 0.768
Br 0.000 0.765 0.768
Cl 0.000 0.224 0.226
Cl 0.000 0.776 0.226
Cs 0.500 0.500 0.026
Cs 0.500 0.000 0.485

***

Record 6
The following is a DFT calculation (PBE) of a geometry-optimized KGaTe3Pd structure.

E	-3.544	eV/atom
symmetry	P2_1/m

Lattice parameters (Å, degrees): 8.925 4.438 9.667 90.00 101.08 90.00
Atoms (fractional coordinates):
Ga 0.166 0.750 0.110
Ga 0.834 0.250 0.890
K 0.711 0.750 0.278
K 0.289 0.250 0.722
Pd 0.450 0.250 0.405
Pd 0.550 0.750 0.595
Te 0.400 0.250 0.125
Te 0.964 0.250 0.165
Te 0.289 0.750 0.398
Te 0.711 0.250 0.602
Te 0.036 0.750 0.835
Te 0.600 0.750 0.875

***

Record 7
The following is a DFT calculation (PBE) of a geometry-optimized ZrGa2Fe structure.

E	-6.189	eV/atom
symmetry	Pnma
total magnetization	0.34	μB per atom

Lattice parameters (Å, degrees): 9.994 8.428 9.002 90.00 90.00 90.00
Site moments in Bohr magnetons follow the coordinates.
Atoms (fractional coordinates):
Fe 0.500 0.000 0.000  1.79
Fe 0.500 0.500 0.000  1.79
Fe 0.255 0.502 0.081  1.42
Fe 0.255 0.998 0.081  1.43
Fe 0.755 0.502 0.419  1.44
Fe 0.755 0.998 0.419  1.42
Fe 0.000 0.000 0.500  1.79
Fe 0.000 0.500 0.500  1.79
Fe 0.245 0.002 0.581  1.42
Fe 0.245 0.498 0.581  1.44
Fe 0.745 0.002 0.919  1.43
Fe 0.745 0.498 0.919  1.42
Ga 0.132 0.250 0.020  -0.03
Ga 0.121 0.750 0.064  -0.03
Ga 0.395 0.250 0.108  -0.05
Ga 0.405 0.750 0.140  -0.04
Ga 0.682 0.582 0.171  -0.03
Ga 0.682 0.918 0.171  -0.03
Ga 0.182 0.582 0.329  -0.03
Ga 0.182 0.918 0.329  -0.03
Ga 0.905 0.750 0.360  -0.04
Ga 0.895 0.250 0.392  -0.05
Ga 0.621 0.750 0.436  -0.03
Ga 0.632 0.250 0.480  -0.03
Ga 0.368 0.750 0.520  -0.03
Ga 0.379 0.250 0.564  -0.03
Ga 0.105 0.750 0.608  -0.05
Ga 0.095 0.250 0.640  -0.04
Ga 0.818 0.082 0.671  -0.03
Ga 0.818 0.418 0.671  -0.03
Ga 0.318 0.082 0.829  -0.03
Ga 0.318 0.418 0.829  -0.03
Ga 0.595 0.250 0.860  -0.04
Ga 0.605 0.750 0.892  -0.05
Ga 0.879 0.250 0.936  -0.03
Ga 0.868 0.750 0.980  -0.03
Zr 0.681 0.250 0.162  -0.08
Zr 0.953 0.025 0.170  -0.10
Zr 0.953 0.475 0.170  -0.09
Zr 0.453 0.025 0.330  -0.10
Zr 0.453 0.475 0.330  -0.09
Zr 0.181 0.250 0.338  -0.07
Zr 0.819 0.750 0.662  -0.07
Zr 0.547 0.525 0.670  -0.09
Zr 0.547 0.975 0.670  -0.10
Zr 0.047 0.525 0.830  -0.09
Zr 0.047 0.975 0.830  -0.10
Zr 0.319 0.750 0.838  -0.08

***

Record 8
The following is a DFT calculation (PBE) of a geometry-optimized Ho5BTe4 structure.

E	-5.329	eV/atom
symmetry	I4
total magnetization	0.00	μB per atom

Lattice parameters (Å, degrees): 7.371 7.371 7.371 99.53 99.53 131.97
Atoms (fractional coordinates):
B 0.021 0.021 0.000
Ho 0.473 0.473 0.000
Ho 0.253 0.911 0.159
Ho 0.094 0.253 0.343
Ho 0.911 0.751 0.657
Ho 0.751 0.094 0.841
Te 0.811 0.415 0.223
Te 0.589 0.811 0.396
Te 0.415 0.192 0.604
Te 0.192 0.589 0.777

***

Record 9
The following is a DFT calculation (PBE) of a geometry-optimized BaSiAg2TeS3 structure.

E	-4.351	eV/atom
symmetry	Cm

Lattice parameters (Å, degrees): 6.422 6.422 6.491 114.41 114.41 96.64
Atoms (fractional coordinates):
Ag 0.752 0.276 0.508
Ag 0.276 0.752 0.508
Ba 0.029 0.029 0.036
S 0.456 0.456 0.625
S 0.527 0.157 0.988
S 0.157 0.527 0.988
Si 0.470 0.470 0.966
Te 0.832 0.832 0.380

***

Record 10
The following is a DFT calculation (PBE) of a geometry-optimized Nd3ZrSi4 structure.

E	-6.303	eV/atom
symmetry	Pm
total magnetization	0.00	μB per atom

Lattice parameters (Å, degrees): 5.789 3.883 7.975 90.00 91.51 90.00
Atoms (fractional coordinates):
Nd 0.384 0.500 0.176
Nd 0.881 0.000 0.320
Nd 0.122 0.500 0.681
Si 0.859 0.500 0.023
Si 0.385 0.000 0.472
Si 0.631 0.500 0.553
Si 0.119 0.000 0.958
Zr 0.619 0.000 0.817

***

Record 11
The following is a DFT calculation (PBE) of a geometry-optimized GaAgPb2 structure.

E	-3.174	eV/atom
symmetry	F-43m

Lattice parameters (Å, degrees): 5.265 5.265 5.265 60.00 60.00 60.00
Atoms (fractional coordinates):
Ag 0.750 0.750 0.750
Ga 0.000 0.000 0.000
Pb 0.250 0.250 0.250
Pb 0.500 0.500 0.500

***

Record 12
The following is a DFT calculation (PBE) of a geometry-optimized LiCd2Pb structure.

E	-1.946	eV/atom
symmetry	F-43m

Lattice parameters (Å, degrees): 5.033 5.033 5.033 60.00 60.00 60.00
Atoms (fractional coordinates):
Cd 0.000 0.000 0.000
Cd 0.750 0.750 0.750
Li 0.250 0.250 0.250
Pb 0.500 0.500 0.500